Record 1
Computed, not measured: a relaxed LaNd4Sm8 crystal at the GGA-PBE level of DFT.

## Properties
ΔE_f	0.486	eV/atom
calculated density	6.35	g/cm³
total magnetic moment	1.7	μB per formula unit

Cell: 11.2103 11.2103 13.8286 Å, 90.00 90.00 120.00°
Space group R-3m (No. 166, hexagonal axes)
Inequivalent atoms, fractional coordinates:
1 La 0.0000 0.0000 0.0000 x3
2 Nd 0.0000 0.0000 0.5000 x3
3 Nd 0.0000 0.5000 0.5000 x9
4 Sm 0.0000 0.0000 0.2614 x6
5 Sm 0.0165 0.5083 0.2477 x18

Record 2
Computed, not measured: a relaxed La2Nd3Sm7 crystal at the GGA-PBE level of DFT.

## Properties
ΔE to the lowest computed polymorph	1.02	kJ/mol of atoms
ΔE_f	0.083	eV/atom
calculated density	6.94	g/cm³
total magnetic moment	0.0	μB per formula unit

Cell: 5.994 3.650 19.306 Å, 90.00 93.13 90.00°
Space group P2/m (No. 10)
Inequivalent atoms, fractional coordinates:
1 La 0.210 0.000 0.295 x2
2 Nd 0.000 0.000 0.000 x1
3 Nd 0.278 0.500 0.631 x2
4 Sm 0.187 0.500 0.142 x2
5 Sm 0.243 0.000 0.463 x2
6 Sm 0.311 0.000 0.827 x2
7 Sm 0.500 0.500 0.000 x1

Record 3
Computed, not measured: a relaxed La2Nd7Sm crystal at the GGA-PBE level of DFT.

## Properties
ΔE_f	0.140	eV/atom
calculated density	6.66	g/cm³
total magnetic moment	0.0	μB per formula unit

Cell: 6.843 29.707 3.525 Å, 90.00 90.00 90.00°
Space group Cmmm (No. 65)
Inequivalent atoms, fractional coordinates:
1 La 0.000 0.204 0.000 x4
2 Nd 0.000 0.000 0.000 x2
3 Nd 0.000 0.311 0.500 x4
4 Nd 0.245 0.401 0.000 x8
5 Sm 0.000 0.500 0.500 x2

Record 4
Computed, not measured: a relaxed La4Nd2Sm5 crystal at the GGA-PBE level of DFT.

## Properties
ΔE to the lowest computed polymorph	0.00	kJ/mol of atoms
ΔE_f	0.072	eV/atom
calculated density	6.82	g/cm³
total magnetic moment	0.0	μB per formula unit

Cell: 18.100 3.601 11.971 Å, 90.00 94.58 90.00°
Space group C2/m (No. 12)
Inequivalent atoms, fractional coordinates:
1 La 0.037 0.000 0.262 x4
2 La 0.141 0.500 0.798 x4
3 Nd 0.215 0.500 0.356 x4
4 Sm 0.000 0.500 0.000 x2
5 Sm 0.096 0.000 0.541 x4
6 Sm 0.178 0.000 0.071 x4

Record 5
Computed, not measured: a relaxed La3Nd7Sm crystal at the GGA-PBE level of DFT.

## Properties
ΔE to the lowest computed polymorph	0.00	kJ/mol of atoms
ΔE_f	0.203	eV/atom
calculated density	6.47	g/cm³
total magnetic moment	0.0	μB per formula unit

Cell: 11.960 10.359 6.558 Å, 90.00 94.86 90.00°
Space group C2/m (No. 12)
Inequivalent atoms, fractional coordinates:
1 La 0.000 0.000 0.000 x2
2 La 0.000 0.175 0.500 x4
3 Nd 0.000 0.500 0.500 x2
4 Nd 0.238 0.000 0.713 x4
5 Nd 0.243 0.327 0.762 x8
6 Sm 0.000 0.500 0.000 x2

Record 6
Computed, not measured: a relaxed La3Nd12Sm crystal at the GGA-PBE level of DFT.

## Properties
ΔE_f	0.012	eV/atom
calculated density	6.72	g/cm³
total magnetic moment	0.0	μB per formula unit

Cell: 5.220 5.220 20.853 Å, 90.00 90.00 90.00°
Space group P4/mmm (No. 123)
Inequivalent atoms, fractional coordinates:
1 La 0.000 0.000 0.000 x1
2 La 0.000 0.000 0.251 x2
3 Nd 0.000 0.500 0.125 x4
4 Nd 0.000 0.500 0.376 x4
5 Nd 0.500 0.500 0.000 x1
6 Nd 0.500 0.500 0.251 x2
7 Nd 0.500 0.500 0.500 x1
8 Sm 0.000 0.000 0.500 x1

Record 7
Computed, not measured: a relaxed La3Nd6Sm2 crystal at the GGA-PBE level of DFT.

## Properties
ΔE to the lowest computed polymorph	22.17	kJ/mol of atoms
ΔE_f	0.246	eV/atom
calculated density	6.42	g/cm³
total magnetic moment	0.0	μB per formula unit

Cell: 4.902 4.902 34.074 Å, 90.00 90.00 90.00°
Space group I4/mmm (No. 139)
Inequivalent atoms, fractional coordinates:
1 La 0.000 0.000 0.000 x2
2 La 0.000 0.000 0.205 x4
3 Nd 0.000 0.000 0.307 x4
4 Nd 0.000 0.500 0.118 x8
5 Sm 0.000 0.000 0.455 x4

Record 8
Computed, not measured: a relaxed La8Nd3Sm3 crystal at the GGA-PBE level of DFT.

## Properties
ΔE_f	0.091	eV/atom
calculated density	6.61	g/cm³
total magnetic moment	0.0	μB per formula unit

Cell: 5.798 11.088 15.599 Å, 90.00 90.00 90.00°
Space group Immm (No. 71)
Inequivalent atoms, fractional coordinates:
1 La 0.000 0.157 0.228 x8
2 La 0.000 0.338 0.394 x8
3 Nd 0.000 0.000 0.000 x2
4 Nd 0.000 0.304 0.000 x4
5 Sm 0.000 0.000 0.500 x2
6 Sm 0.000 0.500 0.178 x4

Record 9
Computed, not measured: a relaxed La5Nd3Sm4 crystal at the GGA-PBE level of DFT.

## Properties
ΔE to the lowest computed polymorph	0.00	kJ/mol of atoms
ΔE_f	0.017	eV/atom
calculated density	6.73	g/cm³
total magnetic moment	0.0	μB per formula unit

Cell: 6.396 7.358 9.057 Å, 90.26 90.11 90.08°
Space group P-1 (No. 2)
Inequivalent atoms, fractional coordinates:
1 La 0.000 0.000 0.000 x1
2 La 0.333 0.500 0.335 x2
3 La 0.500 0.249 0.000 x2
4 Nd 0.000 0.500 0.000 x1
5 Nd 0.167 0.248 0.665 x2
6 Sm 0.167 0.752 0.665 x2
7 Sm 0.335 0.000 0.336 x2

Record 10
Computed, not measured: a relaxed La2Nd3Sm4 crystal at the GGA-PBE level of DFT.

## Properties
ΔE to the lowest computed polymorph	0.00	kJ/mol of atoms
ΔE_f	0.014	eV/atom
calculated density	6.87	g/cm³
total magnetic moment	0.0	μB per formula unit

Cell: 19.207 3.696 9.189 Å, 90.00 103.59 90.00°
Space group C2/m (No. 12)
Inequivalent atoms, fractional coordinates:
1 La 0.241 0.000 0.169 x4
2 Nd 0.000 0.500 0.500 x2
3 Nd 0.092 0.000 0.831 x4
4 Sm 0.073 0.500 0.169 x4
5 Sm 0.166 0.000 0.495 x4

Let's list raw total energy in order: -4.2640, -4.6827, -4.6547, -4.7320, -4.6039, -4.7825, -4.5562, -4.7572, -4.8014, -4.7674 eV/atom.